# 1
! HoErIn, optimized geometry, DFT PBE; values from VASP
&SYSTEM
  ibrav = 0, nat = 6, ntyp = 3
/
ATOMIC_SPECIES
In 114.82 In.upf
Er 167.26 Er.upf
Ho 164.93 Ho.upf
CELL_PARAMETERS angstrom
4.5821 0.0003 -0.0095
0.0000 4.5821 0.0095
0.0189 -0.0189 8.2859
ATOMIC_POSITIONS angstrom
In 3.4500 1.1323 6.0224
Er 3.4434 1.1389 2.9113
Ho 1.1455 1.1456 0.0000
In 1.1510 3.4312 2.2634
Er 1.1576 3.4246 5.3746
Ho 3.4365 3.4367 0.0000
! * density of states at the Fermi level: 8.9 states/eV per cell
! * space group: P4/nmm, No. 129
! * energy relative to the lowest polymorph listed for this composition: 64.6 meV per atom



# 2
! Ho4ErIn3, optimized geometry, DFT PBE; values from VASP
&SYSTEM
  ibrav = 0, nat = 8, ntyp = 3
/
ATOMIC_SPECIES
Ho 164.93 Ho.upf
In 114.82 In.upf
Er 167.26 Er.upf
CELL_PARAMETERS angstrom
3.4867 0.0000 0.0000
0.0000 8.7558 -0.9914
-1.7434 -3.5312 7.9595
ATOMIC_POSITIONS angstrom
Ho 0.0000 2.3529 5.1813
Ho 1.7433 6.3557 1.3903
In 0.0000 4.3779 -0.4957
In 1.7434 4.9140 4.2187
In 0.0000 0.3106 2.7494
Ho 1.7434 2.8717 1.7868
Er 1.7434 0.0000 0.0000
Ho 0.0000 -1.1311 5.5778
! * density of states at the Fermi level: 8.1 states/eV per cell
! * space group: Immm, No. 71
! * energy relative to the lowest polymorph listed for this composition: 104.3 meV per atom



# 3
! HoEr4In, optimized geometry, DFT PBE; values from VASP
&SYSTEM
  ibrav = 0, nat = 6, ntyp = 3
/
ATOMIC_SPECIES
Er 167.26 Er.upf
In 114.82 In.upf
Ho 164.93 Ho.upf
CELL_PARAMETERS angstrom
5.2038 0.0002 -0.0003
0.0000 5.2041 -0.0003
0.0056 0.0085 7.5393
ATOMIC_POSITIONS angstrom
Er 2.6109 5.1914 1.8330
Er 0.0067 2.5908 1.8316
In 2.6138 2.5969 7.5252
Ho 0.0101 5.1938 3.7554
Er 0.0114 2.5930 5.6773
Er 2.6128 5.1981 5.6789
! * density of states at the Fermi level: 8.4 states/eV per cell
! * space group: C2/m, No. 12
! * energy relative to the lowest polymorph listed for this composition: 530.9 meV per atom